This record from OQMD via LeMat-Bulk describes an optimized crystal structure of Na3Ag2As4HO14. The functional is PBE.

a = 5.5316 Å, b = 5.4679 Å, c = 12.8948 Å
α = 85.53°, β = 102.45°, γ = 120.14°
With the nearest neighbours (Å) after each atom.
Fractional coordinates of all 24 atoms:
O  0.6993  0.5711  0.2822  2 As 1.78-1.79
As  0.4255  0.4917  0.8588  4 O 1.68-1.79
As  0.5745  0.5083  0.1412  4 O 1.68-1.79
Na  0.0000  0.0000  0.5000  6 O 2.29-2.50
As  0.4193  0.7099  0.6277  4 O 1.70-1.78
O  0.8008  0.8096  0.0907  1 As 1.68
O  0.7714  0.5585  0.8836  1 As 1.72
Ag  0.9534  0.2054  0.2326  4 O 2.12-2.22
O  0.2286  0.4415  0.1164  1 As 1.72
O  0.2182  0.0891  0.3439  1 As 1.70
O  0.3921  0.7774  0.8839  1 As 1.72
O  0.1992  0.1904  0.9093  1 As 1.68
O  0.3007  0.4289  0.7178  2 As 1.78-1.79
Ag  0.0466  0.7946  0.7674  4 O 2.12-2.22
O  0.7185  0.0810  0.3593  1 As 1.70
O  0.6079  0.2226  0.1161  1 As 1.72
H  0.5000  0.5000  0.5000  2 O 1.21
O  0.7818  0.9109  0.6561  1 As 1.70
O  0.2815  0.9190  0.6407  1 As 1.70
As  0.5807  0.2901  0.3723  4 O 1.70-1.78
O  0.6994  0.4730  0.4910  1 H 1.21
Na  0.8170  0.1678  0.9702  6 O 2.35-2.52
Na  0.1830  0.8322  0.0298  6 O 2.35-2.52
O  0.3006  0.5270  0.5090  1 H 1.21

Its crystal system is triclinic. Its space group is P-1 (2).


This record from OQMD via LeMat-Bulk describes an optimized crystal structure of BaNiP2Ir. The functional is PBE.

a = 6.8570 Å, b = 6.8570 Å, c = 6.8570 Å
α = 146.43°, β = 146.43°, γ = 48.21°
With the nearest neighbours (Å) after each atom.
Fractional coordinates of all 5 atoms:
P  0.3471  0.3471  0.0000  2 Ni 2.32, 2 Ir 2.32
Ni  0.2500  0.7500  0.5000  4 P 2.32
P  0.6530  0.6530  0.0000  2 Ni 2.32, 2 Ir 2.32
Ba  0.0000  0.0000  0.0000  8 P 3.39, 4 Ni 3.70, 4 Ir 3.70
Ir  0.7500  0.2500  0.5000  4 P 2.32

Its crystal system is tetragonal. The value obtained for the total magnetization is 0.00 μB/cell. Its space group is I-4m2 (119).


| no. | final energy (eV for the cell shown) |
| --- | --- |
| 1 | -128.5 |
| 2 | -31.1 |